(1)
First-principles (PBE-GGA) data for a geometry-optimized GdDy2Al3Si2Ir structure, as listed in OQMD.

Lattice parameters (Å, degrees): 4.2288 6.9366 6.9366 120.07 90.00 90.00
Last column: nearest neighbours and their distance in Å.
Fractional coordinates of all 9 atoms:
Al: 0.5000 0.7676 0.7676  2 Ir 2.65, 2 Si 2.74, 2 Al 2.79
Al: 0.5000 0.9994 0.2327  2 Ir 2.67, 2 Si 2.71-2.73, 2 Al 2.79-2.80
Al: 0.5000 0.2327 0.9994  2 Ir 2.67, 2 Si 2.71-2.73, 2 Al 2.79-2.80
Si: 0.5000 0.3326 0.6679  3 Al 2.71-2.74, 4 Dy 2.96-2.97, 2 Gd 2.98
Si: 0.5000 0.6679 0.3326  3 Al 2.71-2.74, 4 Dy 2.96-2.97, 2 Gd 2.98
Ir: 0.0000 0.9978 0.9978  6 Al 2.65-2.67, 2 Dy 2.87, 1 Gd 2.90
Gd: 0.0000 0.4164 0.4164  1 Ir 2.90, 4 Si 2.98, 2 Al 3.22
Dy: 0.0000 0.5850 0.0005  1 Ir 2.87, 4 Si 2.96-2.97
Dy: 0.0000 0.0005 0.5850  1 Ir 2.87, 4 Si 2.96-2.97

(2)
First-principles (PBE-GGA) data for a geometry-optimized GdDy2Mg3Al2Zn structure, as listed in OQMD.

Lattice parameters (Å, degrees): 4.4827 7.3717 7.3717 120.22 90.00 90.00
Last column: nearest neighbours and their distance in Å.
Fractional coordinates of all 9 atoms:
Al: 0.5000 0.3320 0.6668  3 Mg 2.85-2.86, 4 Dy 3.14, 2 Gd 3.15
Al: 0.5000 0.6668 0.3320  3 Mg 2.85-2.86, 4 Dy 3.14, 2 Gd 3.15
Mg: 0.5000 0.7590 0.0002  2 Al 2.85-2.86, 2 Zn 2.87, 2 Mg 3.07-3.08
Mg: 0.5000 0.2413 0.2413  2 Zn 2.85, 2 Al 2.86, 2 Mg 3.07
Mg: 0.5000 0.0002 0.7590  2 Al 2.85-2.86, 2 Zn 2.87, 2 Mg 3.07-3.08
Zn: 0.0000 0.0021 0.0021  6 Mg 2.85-2.87, 2 Dy 3.08, 1 Gd 3.10
Dy: 0.0000 0.9995 0.4189  1 Zn 3.08, 4 Al 3.14, 2 Mg 3.36
Dy: 0.0000 0.4189 0.9995  1 Zn 3.08, 4 Al 3.14, 2 Mg 3.36
Gd: 0.0000 0.5802 0.5802  1 Zn 3.10, 4 Al 3.15, 2 Mg 3.35

| no. | final energy (eV/atom) |
| --- | --- |
| 1 | -5.83 |
| 2 | -3.35 |